Record 1
Here is a geometry-optimized TiBSe2 structure from Alexandria. Energies are from PBE.

The calculation puts the uncorrected formation energy at -0.08 eV per atom. Its electronic total energy is -5.462 eV/atom. For the total magnetization, the calculation gives 0.0 μB per cell.

The structure in POSCAR format:
```
TiBSe2
1.0
3.139 -1.789 0.000
3.139 1.789 0.000
-2.113 0.000 7.665
Ti B Se
1 1 2
direct
0.000 0.000 0.000 Ti
0.096 0.096 0.284 B
0.426 0.426 0.277 Se
0.605 0.605 0.815 Se
```

=====

Record 2
Here is a geometry-optimized TiB2Se structure from Alexandria. Energies are from PBE.

The calculation puts the uncorrected formation energy at 0.62 eV per atom. Its electronic total energy is -5.566 eV/atom. For the total magnetization, the calculation gives 0.0 μB per cell.

The structure in POSCAR format:
```
TiB2Se
1.0
-2.827 2.827 3.300
2.827 -2.827 3.300
2.827 2.827 -3.300
Ti B Se
2 4 2
direct
0.000 0.000 0.000 Ti
0.750 0.250 0.500 Ti
0.164 0.125 0.539 B
0.375 0.836 0.961 B
0.586 0.625 0.461 B
0.875 0.414 0.039 B
0.250 0.750 0.500 Se
0.500 0.500 0.000 Se
```

=====

Record 3
Here is a geometry-optimized Ti2BSe structure from Alexandria. Energies are from PBE.

The calculation puts the uncorrected formation energy at -0.84 eV per atom. The calculation puts the energy above the most stable polymorph in this dataset at 0 meV/atom. Its electronic total energy is -7.331 eV/atom. For the total magnetization, the calculation gives 0.0 μB per cell.

The structure in POSCAR format:
```
Ti2BSe
1.0
1.680 0.970 5.955
-1.680 0.970 5.955
0.000 -1.940 5.955
Ti B Se
2 1 1
direct
0.232 0.232 0.232 Ti
0.768 0.768 0.768 Ti
0.500 0.500 0.500 B
0.000 0.000 0.000 Se
```

=====

Among the records above, which one has the highest electronic total energy?
TiBSe2

=====

The lowest electronic total energy belongs to which entry?
Ti2BSe

=====

What is the formula in the first record?
TiBSe2

=====

Which of these has the highest electronic total energy?
TiBSe2